(1)
Below is a relaxed In2CuRu crystal, with properties calculated at the PBE-GGA level.

Output
The value obtained for the energy of formation is 0.426 eV per atom.

Cell lengths 7.212, 7.212, 5.858 Å; angles 52.01, 52.01, 90.00 degrees
Positions (direct):
1 Ru 0.000 0.000 0.000
2 Ru 0.750 0.250 0.500
3 Cu 0.500 0.500 0.000
4 Cu 0.250 0.750 0.500
5 In 0.612 0.125 0.250
6 In 0.138 0.625 0.250
7 In 0.375 0.388 0.750
8 In 0.875 0.862 0.750

***

(2)
Below is a relaxed LaNi3 crystal, with properties calculated at the PBE-GGA level.

Output
The value obtained for the energy of formation is 0.088 eV per atom.

Cell lengths 5.052, 5.052, 5.052 Å; angles 90.00, 90.00, 90.00 degrees
Positions (direct):
1 La 0.000 0.000 0.000
2 La 0.500 0.500 0.500
3 Ni 0.000 0.250 0.500
4 Ni 0.000 0.750 0.500
5 Ni 0.250 0.500 0.000
6 Ni 0.500 0.000 0.250
7 Ni 0.500 0.000 0.750
8 Ni 0.750 0.500 0.000

***

(3)
Below is a relaxed CaNiHPd2 crystal, with properties calculated at the PBE-GGA level.

Output
The calculated total energy comes out at -4.613 eV per atom.

Cell lengths 4.212, 3.837, 4.212 Å; angles 90.00, 90.00, 90.00 degrees
Positions (direct):
1 Ni 0.000 0.500 0.000
2 Ca 0.500 0.500 0.500
3 Pd 0.000 0.000 0.500
4 Pd 0.500 0.000 0.000
5 H 0.000 0.000 0.000

***

(4)
Below is a relaxed PtAu3 crystal, with properties calculated at the PBE-GGA level.

Output
The value obtained for the energy of formation is 0.041 eV per atom.

Cell lengths 5.638, 5.638, 5.638 Å; angles 150.31, 127.54, 61.45 degrees
Positions (direct):
1 Au 0.995 0.996 0.000
2 Au 0.086 0.750 0.336
3 Au 0.504 0.504 0.000
4 Pt 0.581 0.250 0.331

***

(5)
Below is a relaxed BaMnAu crystal, with properties calculated at the PBE-GGA level.

Output
The value obtained for the energy of formation is 0.172 eV per atom.

Cell lengths 5.171, 5.171, 5.171 Å; angles 60.00, 60.00, 60.00 degrees
Site moments in Bohr magnetons follow the coordinates.
Positions (direct):
1 Au 0.250 0.250 0.250  0.02
2 Ba 0.000 0.000 0.000  -0.05
3 Mn 0.500 0.500 0.500  4.20

***

(6)
Below is a relaxed CsSr3Pd crystal, with properties calculated at the PBE-GGA level.

Output
The value obtained for the energy of formation is 0.074 eV per atom. The value obtained for the polymorph energy (0 for the lowest one) is 0.314 eV/atom.

Cell lengths 4.413, 12.353, 12.353 Å; angles 141.01, 90.00, 90.00 degrees
Positions (direct):
1 Cs 0.500 0.099 0.901
2 Sr 0.500 0.171 0.339
3 Sr 0.500 0.661 0.829
4 Sr 0.000 0.286 0.714
5 Pd 0.000 0.412 0.588

***

(7)
Below is a relaxed Ca2MnAgI crystal, with properties calculated at the PBE-GGA level.

Output
For the energy relative to the elements, uncorrected, the calculation gives -0.0019 eV/atom.

Cell lengths 5.826, 4.993, 5.826 Å; angles 90.00, 90.00, 90.00 degrees
Site moments in Bohr magnetons follow the coordinates.
Positions (direct):
1 I 0.500 0.500 0.500  0.01
2 Ca 0.000 0.000 0.500  -0.04
3 Ca 0.500 0.000 0.000  -0.07
4 Mn 0.000 0.500 0.000  4.08
5 Ag 0.000 0.000 0.000  0.02